(1)
The following is a PBE calculation of a relaxed structure of PtAu5, from Alexandria via LeMat-Bulk.

abc: 4.9525 8.7990 4.8960
angles: 90.00 90.00 90.00
Positions (direct):
Pt: 0.0000 0.0000 0.0000
Pt: 0.5000 0.5000 0.0000
Au: 0.0000 0.1642 0.5000
Au: 0.0000 0.3328 0.0000
Au: 0.0000 0.5000 0.5000
Au: 0.0000 0.6672 0.0000
Au: 0.0000 0.8358 0.5000
Au: 0.5000 0.0000 0.5000
Au: 0.5000 0.1672 0.0000
Au: 0.5000 0.3358 0.5000
Au: 0.5000 0.6642 0.5000
Au: 0.5000 0.8328 0.0000

**Excess energy over the best structure of this formula in the dataset**: 0.41 kcal/mol of atoms
**Magnetic moment**: 0.0 μB per formula unit


(2)
The following is a PBE calculation of a relaxed structure of Pt2Au3, from Alexandria via LeMat-Bulk.

abc: 2.8705 2.8705 35.8221
angles: 90.00 90.00 120.00
Positions (direct):
Pt: 0.0000 0.0000 0.1984
Pt: 0.0000 0.0000 0.8016
Pt: 0.3333 0.6667 0.4683
Pt: 0.3333 0.6667 0.8651
Pt: 0.6667 0.3333 0.1349
Pt: 0.6667 0.3333 0.5317
Au: 0.0000 0.0000 0.0000
Au: 0.0000 0.0000 0.4023
Au: 0.0000 0.0000 0.5977
Au: 0.3333 0.6667 0.0690
Au: 0.3333 0.6667 0.2643
Au: 0.3333 0.6667 0.6667
Au: 0.6667 0.3333 0.3333
Au: 0.6667 0.3333 0.7356
Au: 0.6667 0.3333 0.9310

**Excess energy over the best structure of this formula in the dataset**: 0.81 kcal/mol of atoms
**Magnetic moment**: 0.0 μB per formula unit


(3)
The following is a PBE calculation of a relaxed structure of PtAu5, from Alexandria via LeMat-Bulk.

abc: 4.9150 14.6420 2.9619
angles: 90.00 90.00 90.00
Positions (direct):
Pt: 0.0000 0.0000 0.0000
Pt: 0.5000 0.5000 0.0000
Au: 0.0000 0.1624 0.5000
Au: 0.0000 0.3307 0.0000
Au: 0.0000 0.5000 0.5000
Au: 0.0000 0.6693 0.0000
Au: 0.0000 0.8376 0.5000
Au: 0.5000 0.0000 0.5000
Au: 0.5000 0.1693 0.0000
Au: 0.5000 0.3376 0.5000
Au: 0.5000 0.6624 0.5000
Au: 0.5000 0.8307 0.0000

**Excess energy over the best structure of this formula in the dataset**: 0.41 kcal/mol of atoms
**Magnetic moment**: 0.0 μB per formula unit


(4)
The following is a PBE calculation of a relaxed structure of PtAu7, from Alexandria via LeMat-Bulk.

abc: 5.8540 5.8540 5.8540
angles: 60.00 60.00 60.00
Positions (direct):
Pt: 0.0000 0.0000 0.0000
Au: 0.0000 0.0000 0.5000
Au: 0.0000 0.5000 0.0000
Au: 0.0000 0.5000 0.5000
Au: 0.5000 0.0000 0.0000
Au: 0.5000 0.0000 0.5000
Au: 0.5000 0.5000 0.0000
Au: 0.5000 0.5000 0.5000

**Magnetic moment**: 0.0 μB per formula unit


Which final energy belongs to each record? In order, -44.4; -65.3; -44.4; -28.8 eV/cell.